Record 1
Here is a relaxed structure of HoInP from Alexandria via LeMat-Bulk. Energies are from PBE-GGA.

calculated formation energy: -0.6051 eV/atom
volume: 26.61 Å³ per atom
total energy: -4.85 eV per atom
total magnetic moment: 0.00 μB/cell

Cell and atoms, written as extended XYZ:
```
6
Lattice="-0.1999 4.4823 -1.4501 -2.6783 3.1112 2.3197 5.4608 4.4033 5.1916" Properties=species:S:1:pos:R:3 pbc="T T T"
P 3.3239 3.7802 3.5601
P -0.7414 8.2166 2.5010
In -1.3911 5.2162 0.9826
In 3.9737 6.7806 5.0786
Ho 1.2042 3.1621 1.9418
Ho 1.3783 8.8347 4.1194
```


Record 2
Here is a relaxed structure of Ho3InP from Alexandria via LeMat-Bulk. Energies are from PBE-GGA.

calculated formation energy: -0.7129 eV/atom
volume: 28.34 Å³ per atom
total energy: -5.09 eV per atom
total magnetic moment: 0.00 μB/cell
energy above the lowest structure with this stoichiometry: 0.125 eV/atom

Cell and atoms, written as extended XYZ:
```
5
Lattice="5.2137 0.0000 0.0000 0.0000 5.2137 0.0000 0.0000 0.0000 5.2137" Properties=species:S:1:pos:R:3 pbc="T T T"
P 0.0000 0.0000 0.0000
Ho 0.0000 2.6069 0.0000
Ho 0.0000 0.0000 2.6069
Ho 2.6069 0.0000 0.0000
In 2.6069 2.6069 2.6069
```


Record 3
Here is a relaxed structure of Ho2InP from Alexandria via LeMat-Bulk. Energies are from PBE-GGA.

calculated formation energy: -0.9836 eV/atom
volume: 25.81 Å³ per atom
total energy: -5.31 eV per atom
total magnetic moment: 0.00 μB/cell

Cell and atoms, written as extended XYZ:
```
4
Lattice="-0.8813 -0.0297 3.7793 -3.2437 -1.7449 1.2224 2.6051 -7.3775 2.5420" Properties=species:S:1:pos:R:3 pbc="T T T"
P 0.0000 0.0000 0.0000
Ho -0.5699 -1.9643 1.8442
Ho -0.9500 -7.1878 5.6995
In -0.7599 -4.5760 3.7718
```